First-principles (PBE) data for BaPrTm after structural relaxation, as listed in the Alexandria database.

POSCAR file:
```
BaPrTm
1.0
-2.193 -0.583 -3.087
1.079 -3.675 -0.073
-5.762 0.176 6.438
Ba Pr Tm
1 1 1
direct
0.002 0.002 0.003
0.317 0.317 0.635
0.681 0.681 0.362
```

Properties
E above lowest polymorph   0 meV/atom
DOS(E_F)   1.660 states/eV per atom
ΔH_f (0 K)   0.17 eV per atom
Space group   I4mm, No. 107